1.
The following is a DFT calculation (PBE) of a relaxed MnZn2Ge2 crystal.

Lattice parameters (Å, degrees): 6.423 6.423 3.741 90.00 90.00 90.00
Space group P4/mbm (No. 127)
Symmetry-distinct sites (fractional):
Mn1 0.000 0.000 0.000
Zn1 0.157 0.343 0.500
Ge1 0.151 0.651 0.000

Results
Excess energy over the best structure of this formula in the dataset   0 meV per atom
Energy of formation   0.3068 eV per atom

2.
The following is a DFT calculation (PBE) of a relaxed Nd2RhAu crystal.

Lattice parameters (Å, degrees): 3.634 3.634 7.258 90.00 90.00 90.00
Space group P4/mmm (No. 123)
Symmetry-distinct sites (fractional):
Nd1 0.000 0.000 0.235
Rh1 0.500 0.500 0.000
Au1 0.500 0.500 0.500

Results
Energy of formation   -0.7093 eV per atom

3.
The following is a DFT calculation (PBE) of a relaxed ZnBPd2 crystal.

Lattice parameters (Å, degrees): 5.867 5.867 5.867 90.00 90.00 90.00
Space group Fm-3m (No. 225)
Symmetry-distinct sites (fractional):
Zn1 0.000 0.000 0.000
B1 0.000 0.000 0.500
Pd1 0.250 0.250 0.250

Results
Excess energy over the best structure of this formula in the dataset   263 meV per atom
Energy of formation   0.1301 eV per atom

4.
The following is a DFT calculation (PBE) of a relaxed KSn3Te crystal.

Lattice parameters (Å, degrees): 5.915 5.915 5.915 90.00 90.00 90.00
Space group Pm-3m (No. 221)
Symmetry-distinct sites (fractional):
K1 0.000 0.000 0.000
Sn1 0.000 0.000 0.500
Te1 0.500 0.500 0.500

Results
Energy relative to the elements, uncorrected   1.105 eV per atom
Excess energy over the best structure of this formula in the dataset   809 meV per atom

5.
The following is a DFT calculation (PBE) of a relaxed Ac2MgGeO6 crystal.

Lattice parameters (Å, degrees): 5.594 5.594 4.018 90.00 90.00 90.00
Space group P4/mmm (No. 123)
Symmetry-distinct sites (fractional):
Ac1 0.000 0.500 0.000
Mg1 0.000 0.000 0.500
Ge1 0.500 0.500 0.500
O1 0.000 0.000 0.000
O2 0.263 0.263 0.500
O3 0.500 0.500 0.000

Results
Energy relative to the elements, uncorrected   -2.792 eV per atom

6.
The following is a DFT calculation (PBE) of a relaxed AcSbIrSe crystal.

Lattice parameters (Å, degrees): 4.893 4.893 9.004 90.00 90.00 90.00
Space group P4/nmm (No. 129, origin choice 2)
Symmetry-distinct sites (fractional):
Ac1 0.250 0.250 0.195
Sb1 0.250 0.250 0.628
Ir1 0.250 0.750 0.500
Se1 0.250 0.750 0.000

Results
Energy relative to the elements, uncorrected   -0.906 eV per atom

7.
The following is a DFT calculation (PBE) of a relaxed AcDyPdSe3 crystal.

Lattice parameters (Å, degrees): 8.236 4.149 9.331 90.00 103.98 90.00
Space group P2_1/m (No. 11)
Symmetry-distinct sites (fractional):
Ac1 0.194 0.250 0.266
Dy1 0.316 0.750 0.825
Pd1 0.092 0.250 0.600
Se1 0.091 0.250 0.876
Se2 0.263 0.750 0.520
Se3 0.429 0.750 0.151

Results
Energy relative to the elements, uncorrected   -1.632 eV per atom

8.
The following is a DFT calculation (PBE) of a relaxed YTl2S2 crystal.

Lattice parameters (Å, degrees): 7.334 7.334 5.051 90.00 90.00 90.00
Space group P4/mbm (No. 127)
Symmetry-distinct sites (fractional):
Y1 0.000 0.000 0.000
Tl1 0.156 0.344 0.500
S1 0.177 0.677 0.000

Results
Energy relative to the elements, uncorrected   -0.791 eV per atom
Excess energy over the best structure of this formula in the dataset   310 meV per atom

9.
The following is a DFT calculation (PBE) of a relaxed Y2NbNiC crystal.

Lattice parameters (Å, degrees): 5.391 5.391 4.367 90.00 90.00 90.00
Space group P4/mmm (No. 123)
Symmetry-distinct sites (fractional):
Y1 0.000 0.500 0.000
Nb1 0.000 0.000 0.000
Ni1 0.000 0.000 0.500
C1 0.500 0.500 0.500

Results
Energy of formation   1.7598 eV per atom

10.
The following is a DFT calculation (PBE) of a relaxed CrCdCuSe2 crystal.

Lattice parameters (Å, degrees): 4.780 4.780 4.788 90.00 90.00 90.00
Space group P4/mmm (No. 123)
Symmetry-distinct sites (fractional):
Cr1 0.000 0.000 0.000
Cd1 0.500 0.500 0.500
Cu1 0.000 0.000 0.500
Se1 0.000 0.500 0.000

Results
Energy relative to the elements, uncorrected   0.334 eV per atom

11.
The following is a DFT calculation (PBE) of a relaxed TlSbPd3 crystal.

Lattice parameters (Å, degrees): 4.851 5.631 7.691 90.03 90.25 90.00
Space group P-1 (No. 2)
Symmetry-distinct sites (fractional):
Tl1 0.001 0.250 0.176
Sb1 0.499 0.750 0.318
Pd1 0.002 0.249 0.815
Pd2 0.498 0.750 0.660
Pd3 0.500 0.000 0.000
Pd4 0.500 0.500 0.000

Results
Energy relative to the elements, uncorrected   -0.218 eV per atom
Excess energy over the best structure of this formula in the dataset   60 meV per atom

12.
The following is a DFT calculation (PBE) of a relaxed PaTl2GeSe5 crystal.

Lattice parameters (Å, degrees): 4.385 18.697 13.983 90.00 90.00 90.00
Space group Cmc2_1 (No. 36)
Symmetry-distinct sites (fractional):
Pa1 0.000 0.205 0.000
Tl1 0.000 0.117 0.646
Tl2 0.000 0.118 0.302
Ge1 0.000 0.442 0.399
Se1 0.000 0.048 0.989
Se2 0.000 0.298 0.625
Se3 0.000 0.308 0.364
Se4 0.000 0.345 0.980
Se5 0.000 0.498 0.250

Results
Energy relative to the elements, uncorrected   -0.710 eV per atom

13.
The following is a DFT calculation (PBE) of a relaxed UIn2Te6 crystal.

Lattice parameters (Å, degrees): 14.022 12.881 7.823 90.00 117.24 90.00
Space group C2/c (No. 15)
Symmetry-distinct sites (fractional):
U1 0.000 0.072 0.250
In1 0.213 0.410 0.436
Te1 0.078 0.430 0.012
Te2 0.118 0.235 0.550
Te3 0.138 0.091 0.041

Results
Energy relative to the elements, uncorrected   -0.290 eV per atom

14.
The following is a DFT calculation (PBE) of a relaxed K2MgW crystal.

Lattice parameters (Å, degrees): 4.704 4.704 11.772 90.00 90.00 90.00
Space group I4/mmm (No. 139)
Symmetry-distinct sites (fractional):
K1 0.000 0.500 0.250
Mg1 0.000 0.000 0.000
W1 0.000 0.000 0.500

Results
Energy of formation   1.4857 eV per atom

15.
The following is a DFT calculation (PBE) of a relaxed InAu crystal.

Lattice parameters (Å, degrees): 4.5934 4.5934 15.2942 90.00 90.00 120.00
Space group R-3m (No. 166, hexagonal axes)
Symmetry-distinct sites (fractional):
In1 0.0000 0.0000 0.1041
Au1 0.0000 0.0000 0.2937

Results
Energy of formation   -0.1517 eV per atom

16.
The following is a DFT calculation (PBE) of a relaxed PmY2Ho2Mg5 crystal.

Lattice parameters (Å, degrees): 10.630 10.630 5.102 90.00 90.00 90.00
Space group P4/mbm (No. 127)
Symmetry-distinct sites (fractional):
Pm1 0.000 0.000 0.000
Y1 0.178 0.322 0.000
Ho1 0.118 0.618 0.000
Mg1 0.000 0.500 0.500
Mg2 0.075 0.802 0.500

Results
Energy of formation   0.0750 eV per atom

17.
The following is a DFT calculation (PBE) of a relaxed NbRhIO2 crystal.

Lattice parameters (Å, degrees): 4.005 4.005 5.486 90.00 90.00 90.00
Space group P4/mmm (No. 123)
Symmetry-distinct sites (fractional):
Nb1 0.000 0.000 0.000
Rh1 0.500 0.500 0.500
I1 0.500 0.500 0.000
O1 0.000 0.500 0.500

Results
Energy relative to the elements, uncorrected   0.402 eV per atom
Excess energy over the best structure of this formula in the dataset   1285 meV per atom

18.
The following is a DFT calculation (PBE) of a relaxed Tb3HoHg5 crystal.

Lattice parameters (Å, degrees): 9.1165 9.1165 6.5094 90.00 90.00 120.00
Space group P6_3/mcm (No. 193)
Symmetry-distinct sites (fractional):
Tb1 0.0000 0.3700 0.2500
Ho1 0.0000 0.0000 0.0000
Hg1 0.0000 0.2968 0.7500
Hg2 0.3333 0.6667 0.0000

Results
Energy of formation   -0.4129 eV per atom

19.
The following is a DFT calculation (PBE) of a relaxed AgOsW crystal.

Lattice parameters (Å, degrees): 2.962 4.569 14.490 90.00 90.00 90.00
Space group Fmm2 (No. 42)
Symmetry-distinct sites (fractional):
Ag1 0.000 0.000 0.000
Os1 0.000 0.000 0.675
W1 0.000 0.000 0.325

Results
Excess energy over the best structure of this formula in the dataset   166 meV per atom
Energy of formation   0.5321 eV per atom

20.
The following is a DFT calculation (PBE) of a relaxed MgPN2O crystal.

Lattice parameters (Å, degrees): 4.076 4.076 3.752 90.00 90.00 90.00
Space group P4/mmm (No. 123)
Symmetry-distinct sites (fractional):
Mg1 0.000 0.000 0.000
P1 0.500 0.500 0.500
N1 0.000 0.500 0.000
O1 0.000 0.000 0.500

Results
Energy relative to the elements, uncorrected   1.364 eV per atom